CdPPt2, relaxed, DFT PBE-GGA; symmetry = No. 122; calculated formation energy = -0.77 eV/f.u.; E = -38.36 eV per cell; offset from the most stable computed form = 64 meV per atom
1.0
-3.5729 3.5729 2.7992
3.5729 -3.5729 2.7992
3.5729 3.5729 -2.7992
Cd P Pt
2 2 4
Direct
0.0000 0.0000 0.0000
0.7500 0.2500 0.5000
0.2500 0.7500 0.5000
0.5000 0.5000 0.0000
0.1983 0.6250 0.0733
0.3750 0.4483 0.5733
0.5517 0.1250 0.9267
0.8750 0.8017 0.4267